(1)
# LaDyY2Sc

A relaxed structure of LaDyY2Sc (PBE-GGA, Alexandria).

```
LaDyY2Sc
1.0
3.5832 0.0000 0.0000
0.0000 5.4722 0.0000
0.0000 0.0000 8.4445
La Dy Y Sc
1 1 2 1
Direct
0.0000 0.0000 0.0000
0.5000 0.0000 0.5000
0.0000 0.5000 0.3132
0.0000 0.5000 0.6868
0.5000 0.5000 0.0000
```

Output
Density of states at the Fermi level ... 7.301 states/eV/cell
ρ ... 5.26 Mg/m³
Formation energy from the elements ... 0.210 eV/atom
Magnetization ... 0.000 μB/atom

(2)
# La3Sm3Ho5

A relaxed structure of La3Sm3Ho5 (PBE-GGA, Alexandria).

```
La3Sm3Ho5
1.0
9.6698 0.0000 0.0000
-4.8349 8.3743 0.0000
0.0000 0.0000 5.4150
La Sm Ho
3 3 5
Direct
0.0000 0.6397 0.0000
0.3603 0.3603 0.0000
0.6397 0.0000 0.0000
0.0000 0.4884 0.5000
0.4884 0.0000 0.5000
0.5116 0.5116 0.5000
0.0000 0.2775 0.0000
0.2775 0.0000 0.0000
0.3333 0.6667 0.0000
0.6667 0.3333 0.0000
0.7225 0.7225 0.0000
```

Output
Density of states at the Fermi level ... 14.895 states/eV/cell
ρ ... 6.41 Mg/m³
Formation energy from the elements ... 0.750 eV/atom
Magnetization ... 0.000 μB/atom

(3)
# Sm3Te

A relaxed structure of Sm3Te (PBE-GGA, Alexandria).

```
Sm3Te
1.0
3.8751 0.0000 0.0000
0.0000 5.2766 0.0000
0.0000 0.0000 5.9322
Sm Te
3 1
Direct
0.0000 0.0000 0.0000
0.0000 0.5000 0.4112
0.5000 0.0000 0.5352
0.5000 0.5000 0.8894
```

Output
Density of states at the Fermi level ... 3.814 states/eV/cell
ρ ... 7.92 Mg/m³
Magnetization ... 0.000 μB/atom
Uncorrected formation energy ... -0.5015 eV per atom

(4)
# SrTaPb2O8

A relaxed structure of SrTaPb2O8 (PBE-GGA, Alexandria).

```
SrTaPb2O8
1.0
5.0233 0.0000 0.0000
0.0000 7.0542 0.0000
-0.1593 0.0000 5.0214
Sr Ta Pb O
1 1 2 8
Direct
0.0000 0.0000 0.0000
0.0000 0.5000 0.0000
0.5000 0.2610 0.5000
0.5000 0.7390 0.5000
0.1932 0.2951 0.1924
0.1932 0.7049 0.1924
0.2869 0.5000 0.7125
0.3269 0.0000 0.6705
0.6731 0.0000 0.3295
0.7131 0.5000 0.2875
0.8068 0.2951 0.8076
0.8068 0.7049 0.8076
```

Output
Density of states at the Fermi level ... 4.089 states/eV/cell
ρ ... 7.57 Mg/m³
Magnetization ... 0.064 μB/atom
Uncorrected formation energy ... -1.6487 eV per atom